{
  "formula": "La2ZnCdOs",
  "functional": "PBE",
  "state": "optimized geometry",
  "lattice_angstrom": [[5.4898, 0.0000, 0.0000], [0.0000, 5.4898, 0.0000], [0.0000, 0.0000, 4.9857]],
  "species": ["La", "La", "Zn", "Cd", "Os"],
  "frac_coords": [[0.0000, 0.5000, 0.0000], [0.5000, 0.0000, 0.0000], [0.0000, 0.0000, 0.5000], [0.5000, 0.5000, 0.5000], [0.0000, 0.0000, 0.0000]],
  "rho_g_cm3": 7.1,
  "total_energy_ev_per_cell": -23.8
}